Below is a relaxed structure of PrThAl, with properties calculated at the PBE level.

## Properties
The raw total energy is -32.59 eV/cell. The calculation puts the formation energy at -0.117 eV/atom. For the calculated density, the calculation gives 7.66 Mg/m³. The calculation puts the total magnetic moment at 0.0 μB per cell. Its distance to the lowest polymorph of the same formula is 0 meV/atom.

a b c (Å): 3.465 3.465 14.449
angles (deg): 90.00 90.00 90.00
Space group I4mm (No. 107)
Inequivalent atoms, fractional coordinates:
Pr 0.000 0.000 0.000
Th 0.000 0.000 0.291
Al 0.000 0.000 0.647